Nd2HoIr after structural relaxation. Source: Alexandria via LeMat-Bulk, functional GGA-PBE.

```
Nd2HoIr
1.0
1.979 -6.052 0.000
1.979 6.052 0.000
0.000 0.000 9.601
Nd Ho Ir
4 2 2
direct
0.139 0.861 0.567
0.139 0.861 0.933
0.861 0.139 0.067
0.861 0.139 0.433
0.416 0.584 0.750
0.584 0.416 0.250
0.252 0.748 0.250
0.748 0.252 0.750
```

Values from the calculation:
Excess energy over the best structure of this formula in the dataset = 45.2 meV/atom
Space group = Cmcm
E = -24.7 eV/f.u.
Calculated formation energy = -0.441 eV/atom